# 1
The following is a meta-GGA SCAN calculation of BaAgW at its PBEsol-relaxed geometry, from Alexandria via LeMat-Bulk.

Output
energy of formation from the pure elements: 1189.9 meV/atom
energy above the lowest structure with this stoichiometry: 0.00 kcal/mol of atoms
SG: Imm2, No. 44
DFT total energy: -45.6785 eV/atom

a = 2.9581 Å, b = 4.1106 Å, c = 6.4468 Å
α = 108.59°, β = 103.26°, γ = 90.00°
Last column: nearest neighbours and their distance in Å.
Fractional coordinates of all 3 atoms:
Ag 0.9588 0.9588 0.9176  4 W 2.71, 2 Ag 2.96
W 0.3763 0.3763 0.7526  4 Ag 2.71, 2 W 2.96
Ba 0.6649 0.6649 0.3298  2 Ba 2.96

# 2
The following is a meta-GGA SCAN calculation of TcPRh2 at its PBEsol-relaxed geometry, from Alexandria via LeMat-Bulk.

Output
energy of formation from the pure elements: -331.6 meV/atom
SG: Amm2, No. 38
DFT total energy: -28.5821 eV/atom

a = 2.7989 Å, b = 3.6892 Å, c = 5.3074 Å
α = 90.00°, β = 105.31°, γ = 90.00°
Last column: nearest neighbours and their distance in Å.
Fractional coordinates of all 4 atoms:
Rh 0.9149 0.0000 0.9547  4 P 2.45, 2 Tc 2.74
Rh 0.5646 0.5000 0.2541  1 P 2.34, 4 Tc 2.62
P 0.3356 0.5000 0.7963  5 Rh 2.34-2.45, 2 Tc 2.41
Tc 0.1849 0.0000 0.4948  2 P 2.41, 4 Rh 2.62

# 3
The following is a meta-GGA SCAN calculation of CdWS2F at its PBEsol-relaxed geometry, from Alexandria via LeMat-Bulk.

Output
SG: P4/mmm, No. 123
DFT total energy: -25.1448 eV/atom
ΔE_f (raw): -2.83 eV per formula unit

a = 4.0500 Å, b = 4.6773 Å, c = 4.6773 Å
α = 90.00°, β = 90.00°, γ = 90.00°
Last column: nearest neighbours and their distance in Å.
Fractional coordinates of all 5 atoms:
F 0.5000 0.0000 0.0000  2 W 2.02
S 0.0000 0.0000 0.5000  2 W 2.34
S 0.0000 0.5000 0.0000  2 W 2.34
W 0.0000 0.0000 0.0000  2 F 2.02
Cd 0.5000 0.5000 0.5000  8 S 3.09, 4 F 3.31

# 4
The following is a meta-GGA SCAN calculation of Re2RhSe at its PBEsol-relaxed geometry, from Alexandria via LeMat-Bulk.

Output
SG: P4/mmm, No. 123
DFT total energy: -48.2458 eV/atom
ΔE_f (raw): 3.06 eV per formula unit

a = 3.6950 Å, b = 3.6950 Å, c = 4.3644 Å
α = 90.00°, β = 90.00°, γ = 90.00°
Last column: nearest neighbours and their distance in Å.
Fractional coordinates of all 4 atoms:
Re 0.0000 0.5000 0.0000  4 Re 2.61, 4 Se 2.86, 4 Rh 2.86
Re 0.5000 0.0000 0.0000  4 Re 2.61, 4 Se 2.86, 4 Rh 2.86
Rh 0.5000 0.5000 0.5000  4 Se 2.61, 8 Re 2.86
Se 0.0000 0.0000 0.5000  4 Rh 2.61, 8 Re 2.86

# 5
The following is a meta-GGA SCAN calculation of Sc2HgAsIr at its PBEsol-relaxed geometry, from Alexandria via LeMat-Bulk.

Output
energy of formation from the pure elements: -184.2 meV/atom
SG: P4/mmm, No. 123
DFT total energy: -37.7702 eV/atom

a = 4.8970 Å, b = 4.8970 Å, c = 5.0419 Å
α = 90.00°, β = 90.00°, γ = 90.00°
Last column: nearest neighbours and their distance in Å.
Fractional coordinates of all 5 atoms:
Hg 0.0000 0.0000 0.5000  2 Ir 2.52
As 0.5000 0.5000 0.5000  4 Hg 3.46, 8 Sc 3.51
Sc 0.5000 0.0000 0.0000  2 Ir 2.45
Sc 0.0000 0.5000 0.0000  2 Ir 2.45
Ir 0.0000 0.0000 0.0000  4 Sc 2.45, 2 Hg 2.52

# 6
The following is a meta-GGA SCAN calculation of Mg4ZrCo at its PBEsol-relaxed geometry, from Alexandria via LeMat-Bulk.

Output
energy of formation from the pure elements: 406.1 meV/atom
SG: F-43m, No. 216
DFT total energy: -10.9102 eV/atom

a = 5.4798 Å, b = 5.4798 Å, c = 5.4798 Å
α = 60.00°, β = 60.00°, γ = 60.00°
Last column: nearest neighbours and their distance in Å.
Fractional coordinates of all 6 atoms:
Mg 0.3749 0.3749 0.3749  6 Mg 2.74
Mg 0.3749 0.8754 0.3749  6 Mg 2.74
Mg 0.3749 0.3749 0.8754  6 Mg 2.74
Mg 0.8754 0.3749 0.3749  6 Mg 2.74
Zr 0.7500 0.7500 0.7500  12 Mg 3.21, 4 Co 3.36
Co 0.0000 0.0000 0.0000  12 Mg 3.21, 4 Zr 3.36

# 7
The following is a meta-GGA SCAN calculation of HfMgSi2Au at its PBEsol-relaxed geometry, from Alexandria via LeMat-Bulk.

Output
SG: P4/mmm, No. 123
DFT total energy: -30.7152 eV/atom
ΔE_f (raw): 3.26 eV per formula unit

a = 4.9632 Å, b = 4.9632 Å, c = 5.1310 Å
α = 90.00°, β = 90.00°, γ = 90.00°
Last column: nearest neighbours and their distance in Å.
Fractional coordinates of all 5 atoms:
Au 0.0000 0.0000 0.5000  2 Hf 2.57
Hf 0.0000 0.0000 0.0000  4 Si 2.48, 2 Au 2.57
Mg 0.5000 0.5000 0.5000  4 Au 3.51, 8 Si 3.57
Si 0.0000 0.5000 0.0000  2 Hf 2.48
Si 0.5000 0.0000 0.0000  2 Hf 2.48

# 8
The following is a meta-GGA SCAN calculation of LaCoP3 at its PBEsol-relaxed geometry, from Alexandria via LeMat-Bulk.

Output
energy of formation from the pure elements: 1470.8 meV/atom
SG: Pm-3m, No. 221
DFT total energy: -16.8502 eV/atom

a = 5.2170 Å, b = 5.2170 Å, c = 5.2170 Å
α = 90.00°, β = 90.00°, γ = 90.00°
Last column: nearest neighbours and their distance in Å.
Fractional coordinates of all 5 atoms:
La 0.0000 0.0000 0.0000  6 P 2.61
P 0.5000 0.0000 0.0000  2 La 2.61
P 0.0000 0.0000 0.5000  2 La 2.61
P 0.0000 0.5000 0.0000  2 La 2.61
Co 0.5000 0.5000 0.5000  12 P 3.69

# 9
The following is a meta-GGA SCAN calculation of MgRe2Te at its PBEsol-relaxed geometry, from Alexandria via LeMat-Bulk.

Output
energy above the lowest structure with this stoichiometry: 3.61 kcal/mol of atoms
SG: F-43m, No. 216
DFT total energy: -45.4141 eV/atom
ΔE_f (raw): 2.76 eV per formula unit

a = 4.5669 Å, b = 4.5669 Å, c = 4.5669 Å
α = 60.00°, β = 60.00°, γ = 60.00°
Last column: nearest neighbours and their distance in Å.
Fractional coordinates of all 4 atoms:
Re 0.0000 0.0000 0.0000  4 Re 2.80, 4 Te 2.80
Re 0.2500 0.2500 0.2500  4 Re 2.80, 4 Mg 2.80
Mg 0.5000 0.5000 0.5000  4 Re 2.80, 4 Te 2.80
Te 0.7500 0.7500 0.7500  4 Mg 2.80, 4 Re 2.80

# 10
The following is a meta-GGA SCAN calculation of BeRe2Hg at its PBEsol-relaxed geometry, from Alexandria via LeMat-Bulk.

Output
energy of formation from the pure elements: 225.7 meV/atom
energy above the lowest structure with this stoichiometry: 0.00 kcal/mol of atoms
SG: Pm, No. 6
DFT total energy: -53.4529 eV/atom

a = 2.9552 Å, b = 3.0173 Å, c = 6.7283 Å
α = 90.00°, β = 102.20°, γ = 90.00°
Last column: nearest neighbours and their distance in Å.
Fractional coordinates of all 4 atoms:
Hg 0.3092 0.5000 0.7286  2 Be 2.42
Re 0.9640 0.0000 0.0499  1 Be 2.57, 4 Re 2.60
Re 0.5749 0.5000 0.2807  4 Be 2.36, 4 Re 2.60
Be 0.1520 0.0000 0.4409  5 Re 2.36-2.57, 2 Hg 2.42

# 11
The following is a meta-GGA SCAN calculation of InCuRh at its PBEsol-relaxed geometry, from Alexandria via LeMat-Bulk.

Output
energy of formation from the pure elements: 63.7 meV/atom
energy above the lowest structure with this stoichiometry: 4.43 kcal/mol of atoms
SG: F-43m, No. 216
DFT total energy: -27.3887 eV/atom

a = 4.2281 Å, b = 4.2281 Å, c = 4.2281 Å
α = 60.00°, β = 60.00°, γ = 60.00°
Last column: nearest neighbours and their distance in Å.
Fractional coordinates of all 3 atoms:
In 0.5000 0.5000 0.5000  4 Rh 2.59
Cu 0.0000 0.0000 0.0000  4 Rh 2.59
Rh 0.2500 0.2500 0.2500  4 In 2.59, 4 Cu 2.59

# 12
The following is a meta-GGA SCAN calculation of FePHO2 at its PBEsol-relaxed geometry, from Alexandria via LeMat-Bulk.

Output
SG: P4/mmm, No. 123
DFT total energy: -8.8354 eV/atom

a = 3.3872 Å, b = 3.3872 Å, c = 4.8872 Å
α = 90.00°, β = 90.00°, γ = 90.00°
Last column: nearest neighbours and their distance in Å.
Fractional coordinates of all 5 atoms:
O 0.0000 0.5000 0.0000  2 Fe 1.69
O 0.5000 0.0000 0.0000  2 Fe 1.69
H 0.5000 0.5000 0.5000  4 P 2.40
P 0.0000 0.0000 0.5000  4 H 2.40, 2 Fe 2.44
Fe 0.0000 0.0000 0.0000  4 O 1.69

# 13
The following is a meta-GGA SCAN calculation of Mg2CrHg at its PBEsol-relaxed geometry, from Alexandria via LeMat-Bulk.

Output
energy of formation from the pure elements: -80.9 meV/atom
SG: Pmmm, No. 47
DFT total energy: -24.2053 eV/atom

a = 3.4755 Å, b = 3.4484 Å, c = 6.3501 Å
α = 90.00°, β = 90.00°, γ = 90.00°
Last column: nearest neighbours and their distance in Å.
Fractional coordinates of all 4 atoms:
Mg 0.0000 0.0000 0.2438  4 Cr 2.90, 4 Hg 2.94, 1 Mg 3.10
Mg 0.0000 0.0000 0.7562  4 Cr 2.90, 4 Hg 2.94, 1 Mg 3.10
Cr 0.5000 0.5000 0.0000  8 Mg 2.90, 2 Hg 3.18
Hg 0.5000 0.5000 0.5000  8 Mg 2.94, 2 Cr 3.18

# 14
The following is a meta-GGA SCAN calculation of TaMo at its PBEsol-relaxed geometry, from Alexandria via LeMat-Bulk.

Output
energy of formation from the pure elements: -127.3 meV/atom
SG: Immm, No. 71
DFT total energy: -50.8616 eV/atom

a = 3.1856 Å, b = 4.5506 Å, c = 9.4254 Å
α = 103.97°, β = 99.73°, γ = 90.00°
Last column: nearest neighbours and their distance in Å.
Fractional coordinates of all 8 atoms:
Mo 0.2523 0.2523 0.5047  6 Mo 2.67-2.78, 2 Ta 2.74
Mo 0.7477 0.7477 0.4953  6 Mo 2.67-2.78, 2 Ta 2.74
Mo 0.1286 0.6286 0.2573  2 Mo 2.67, 6 Ta 2.78-2.81
Mo 0.8714 0.3714 0.7427  2 Mo 2.67, 6 Ta 2.78-2.81
Ta 0.5000 0.5000 0.0000  4 Ta 2.78, 4 Mo 2.81
Ta 0.0000 0.0000 0.0000  8 Ta 2.78-2.81
Ta 0.6286 0.1286 0.2572  6 Mo 2.74-2.78, 2 Ta 2.81
Ta 0.3714 0.8714 0.7428  6 Mo 2.74-2.78, 2 Ta 2.81

# 15
The following is a meta-GGA SCAN calculation of BaTlSb2 at its PBEsol-relaxed geometry, from Alexandria via LeMat-Bulk.

Output
energy above the lowest structure with this stoichiometry: 0.76 kcal/mol of atoms
SG: P4/mmm, No. 123
DFT total energy: -47.1292 eV/atom
ΔE_f (raw): -2.09 eV per formula unit

a = 4.9069 Å, b = 4.9069 Å, c = 5.0485 Å
α = 90.00°, β = 90.00°, γ = 90.00°
Last column: nearest neighbours and their distance in Å.
Fractional coordinates of all 4 atoms:
Sb 0.5000 0.0000 0.0000  4 Sb 3.47, 4 Ba 3.52, 4 Tl 3.52
Sb 0.0000 0.5000 0.0000  4 Sb 3.47, 4 Ba 3.52, 4 Tl 3.52
Tl 0.5000 0.5000 0.5000  4 Ba 3.47, 8 Sb 3.52
Ba 0.0000 0.0000 0.5000  4 Tl 3.47, 8 Sb 3.52

# 16
The following is a meta-GGA SCAN calculation of LiN3Cl at its PBEsol-relaxed geometry, from Alexandria via LeMat-Bulk.

Output
SG: Pm-3m, No. 221
DFT total energy: -5.0931 eV/atom
ΔE_f (raw): 12.78 eV per formula unit

a = 3.7296 Å, b = 3.7296 Å, c = 3.7296 Å
α = 90.00°, β = 90.00°, γ = 90.00°
Last column: nearest neighbours and their distance in Å.
Fractional coordinates of all 5 atoms:
Li 0.5000 0.5000 0.5000  12 N 2.64
N 0.5000 0.0000 0.0000  2 Cl 1.86
N 0.0000 0.5000 0.0000  2 Cl 1.86
N 0.0000 0.0000 0.5000  2 Cl 1.86
Cl 0.0000 0.0000 0.0000  6 N 1.86

# 17
The following is a meta-GGA SCAN calculation of RbCrFe2H at its PBEsol-relaxed geometry, from Alexandria via LeMat-Bulk.

Output
SG: P4/mmm, No. 123
DFT total energy: -13.5047 eV/atom

a = 3.3866 Å, b = 5.0406 Å, c = 5.0406 Å
α = 90.00°, β = 90.00°, γ = 90.00°
Last column: nearest neighbours and their distance in Å.
Fractional coordinates of all 5 atoms:
Fe 0.0000 0.0000 0.5000  2 Rb 2.52
Fe 0.0000 0.5000 0.0000  2 Rb 2.52
H 0.5000 0.0000 0.0000  2 Rb 1.69
Rb 0.0000 0.0000 0.0000  2 H 1.69
Cr 0.5000 0.5000 0.5000  8 Fe 3.04, 2 Cr 3.39

# 18
The following is a meta-GGA SCAN calculation of Na2RhN at its PBEsol-relaxed geometry, from Alexandria via LeMat-Bulk.

Output
SG: I-42d, No. 122
DFT total energy: -13.0131 eV/atom
ΔE_f (raw): -0.56 eV per formula unit

a = 3.6775 Å, b = 7.2902 Å, c = 7.2902 Å
α = 86.35°, β = 75.39°, γ = 75.39°
Last column: nearest neighbours and their distance in Å.
Fractional coordinates of all 8 atoms:
Na 0.3769 0.2481 0.7481  2 N 2.54
Na 0.3731 0.7519 0.2519  2 N 2.54
Na 0.8750 0.7481 0.7519  2 N 2.54
Na 0.3750 0.2519 0.2481  2 N 2.54
Rh 0.7500 0.5000 0.5000  2 N 1.84
Rh 0.0000 0.0000 0.0000  2 N 1.84
N 0.2500 0.5000 0.5000  2 Rh 1.84
N 0.5000 0.0000 0.0000  2 Rh 1.84

# 19
The following is a meta-GGA SCAN calculation of Y2CuRh at its PBEsol-relaxed geometry, from Alexandria via LeMat-Bulk.

Output
energy of formation from the pure elements: -654.9 meV/atom
SG: Amm2, No. 38
DFT total energy: -26.8190 eV/atom

a = 3.7305 Å, b = 4.3106 Å, c = 5.4446 Å
α = 90.00°, β = 110.03°, γ = 90.00°
Last column: nearest neighbours and their distance in Å.
Fractional coordinates of all 4 atoms:
Cu 0.7014 0.0000 0.4027  2 Rh 2.67, 7 Y 2.87-2.94
Rh 0.5476 0.5000 0.0952  2 Cu 2.67, 7 Y 2.87-2.92
Y 0.2675 0.5000 0.5349  3 Rh 2.87-2.92, 4 Cu 2.93
Y 0.9886 0.0000 0.9771  3 Cu 2.87-2.94, 4 Rh 2.91

# 20
The following is a meta-GGA SCAN calculation of LiMgCd2 at its PBEsol-relaxed geometry, from Alexandria via LeMat-Bulk.

Output
energy of formation from the pure elements: -139.6 meV/atom
SG: R-3m, No. 166
DFT total energy: -17.1876 eV/atom

a = 3.0947 Å, b = 3.0947 Å, c = 9.7586 Å
α = 80.88°, β = 80.88°, γ = 60.00°
Last column: nearest neighbours and their distance in Å.
Fractional coordinates of all 4 atoms:
Mg 0.0000 0.0000 0.0000  6 Cd 3.06, 6 Mg 3.09
Li 0.5000 0.5000 0.5000  6 Cd 2.92, 6 Li 3.09
Cd 0.2468 0.2468 0.2595  3 Li 2.92, 3 Mg 3.06, 6 Cd 3.09
Cd 0.7532 0.7532 0.7405  3 Li 2.92, 3 Mg 3.06, 6 Cd 3.09